Record 1
! CaLaTh2 | Alexandria | PBE | relaxed; values from VASP
! - Distance to the lowest polymorph of the same formula: 53 meV per atom
! - SG: P4/mmm
&SYSTEM
  ibrav = 0, nat = 4, ntyp = 3
/
ATOMIC_SPECIES
Th 232.04 Th.upf
Ca 40.08 Ca.upf
La 138.91 La.upf
ATOMIC_POSITIONS crystal
Th 0.000 0.000 0.500
Th 0.000 0.500 0.000
Ca 0.500 0.500 0.500
La 0.500 0.000 0.000
CELL_PARAMETERS angstrom
-5.331 0.479 0.425
-0.178 -4.316 2.635
0.577 2.602 4.301

Record 2
! CaSi2Ni | Alexandria | PBE | relaxed; values from VASP
! - SG: Cmmm
! - E_form (uncorrected): -0.55 eV per atom
&SYSTEM
  ibrav = 0, nat = 8, ntyp = 3
/
ATOMIC_SPECIES
Si 28.09 Si.upf
Ca 40.08 Ca.upf
Ni 58.69 Ni.upf
ATOMIC_POSITIONS crystal
Si 0.500 0.710 0.420
Si 0.500 0.290 0.580
Si 0.000 0.500 0.000
Si 0.500 0.000 0.000
Ca 0.000 0.854 0.708
Ca 0.000 0.146 0.292
Ni 0.500 0.426 0.852
Ni 0.500 0.574 0.148
CELL_PARAMETERS angstrom
4.081 0.000 0.000
0.000 3.842 -0.938
0.000 0.073 8.639

Copy entry 2 word for word.
! CaSi2Ni | Alexandria | PBE | relaxed; values from VASP
! - SG: Cmmm
! - E_form (uncorrected): -0.55 eV per atom
&SYSTEM
  ibrav = 0, nat = 8, ntyp = 3
/
ATOMIC_SPECIES
Si 28.09 Si.upf
Ca 40.08 Ca.upf
Ni 58.69 Ni.upf
ATOMIC_POSITIONS crystal
Si 0.500 0.710 0.420
Si 0.500 0.290 0.580
Si 0.000 0.500 0.000
Si 0.500 0.000 0.000
Ca 0.000 0.854 0.708
Ca 0.000 0.146 0.292
Ni 0.500 0.426 0.852
Ni 0.500 0.574 0.148
CELL_PARAMETERS angstrom
4.081 0.000 0.000
0.000 3.842 -0.938
0.000 0.073 8.639